(1)
# Cs2BaAlF6

An optimized crystal structure of Cs2BaAlF6 (PBE, Alexandria).

Theoretical density (g/cm³): 4.448
Volume (Å³ per atom): 20.3
Space-group type: No. 139
Raw formation energy (eV per atom): -3.011
Spin magnetization (Bohr magnetons per cell): 0.676
ΔE to the lowest computed polymorph (kJ per mole of atoms): 10.6

Unit cell a=6.633 b=6.633 c=6.633 alpha=120.99 beta=120.99 gamma=88.29
Fractional coordinates of all 10 atoms:
Cs 0.250 0.750 0.500
Cs 0.750 0.250 0.500
Ba 0.000 0.000 0.000
Al 0.500 0.500 0.000
F 0.297 0.297 0.595
F 0.297 0.703 0.000
F 0.305 0.305 0.000
F 0.695 0.695 0.000
F 0.703 0.297 0.000
F 0.703 0.703 0.405

***

(2)
# Cs2BaAlF6

An optimized crystal structure of Cs2BaAlF6 (PBE, Alexandria).

Theoretical density (g/cm³): 3.418
Volume (Å³ per atom): 26.4
Space-group type: No. 164
Raw formation energy (eV per atom): -3.120
Spin magnetization (Bohr magnetons per cell): 0.001
ΔE to the lowest computed polymorph (kJ per mole of atoms): 0.0

Unit cell a=6.680 b=6.680 c=6.839 alpha=90.00 beta=90.00 gamma=120.00
Fractional coordinates of all 10 atoms:
Cs 0.333 0.667 0.387
Cs 0.667 0.333 0.613
Ba 0.000 0.000 0.000
Al 0.000 0.000 0.500
F 0.128 0.255 0.661
F 0.128 0.872 0.661
F 0.255 0.128 0.339
F 0.745 0.872 0.661
F 0.872 0.128 0.339
F 0.872 0.745 0.339

***

(3)
# CsBaAl2F8

An optimized crystal structure of CsBaAl2F8 (PBE, Alexandria).

Theoretical density (g/cm³): 2.949
Volume (Å³ per atom): 22.3
Space-group type: No. 148
Raw formation energy (eV per atom): -3.279
Spin magnetization (Bohr magnetons per cell): 0.000

Unit cell a=10.517 b=10.517 c=10.517 alpha=30.65 beta=30.65 gamma=30.65
Fractional coordinates of all 12 atoms:
Cs 0.000 0.000 0.000
Ba 0.500 0.500 0.500
Al 0.251 0.251 0.251
Al 0.749 0.749 0.749
F 0.079 0.725 0.491
F 0.275 0.509 0.921
F 0.308 0.308 0.308
F 0.491 0.079 0.725
F 0.509 0.921 0.275
F 0.692 0.692 0.692
F 0.725 0.491 0.079
F 0.921 0.275 0.509

***

(4)
# CsBa2AlFe

An optimized crystal structure of CsBa2AlFe (PBE, Alexandria).

Formation energy from the elements (eV per atom): 1.485
Theoretical density (g/cm³): 3.381
Volume (Å³ per atom): 48.2
Space-group type: No. 123
Spin magnetization (Bohr magnetons per cell): 3.273

Unit cell a=6.538 b=6.538 c=5.635 alpha=90.00 beta=90.00 gamma=90.00
Fractional coordinates of all 5 atoms:
Cs 0.000 0.000 0.000
Ba 0.000 0.500 0.000
Ba 0.500 0.000 0.000
Al 0.000 0.000 0.500
Fe 0.500 0.500 0.500

***

(5)
# Cs2BaAlGe

An optimized crystal structure of Cs2BaAlGe (PBE, Alexandria).

Formation energy from the elements (eV per atom): 0.313
Theoretical density (g/cm³): 3.056
Volume (Å³ per atom): 54.6
Space-group type: No. 123
Spin magnetization (Bohr magnetons per cell): 0.000

Unit cell a=7.401 b=7.401 c=4.989 alpha=90.00 beta=90.00 gamma=90.00
Fractional coordinates of all 5 atoms:
Cs 0.000 0.500 0.000
Cs 0.500 0.000 0.000
Ba 0.000 0.000 0.500
Al 0.500 0.500 0.500
Ge 0.500 0.500 0.000

***

(6)
# Cs2BaAlGe2

An optimized crystal structure of Cs2BaAlGe2 (PBE, Alexandria).

Formation energy from the elements (eV per atom): -0.152
Theoretical density (g/cm³): 3.962
Volume (Å³ per atom): 40.2
Space-group type: No. 72
Spin magnetization (Bohr magnetons per cell): 0.000

Unit cell a=9.789 b=9.789 c=9.789 alpha=133.92 beta=67.60 gamma=133.44
Fractional coordinates of all 12 atoms:
Cs 0.184 0.215 0.399
Cs 0.316 0.715 0.031
Cs 0.684 0.285 0.969
Cs 0.816 0.785 0.601
Ba 0.250 0.750 0.500
Ba 0.750 0.250 0.500
Al 0.250 0.250 0.000
Al 0.750 0.750 0.000
Ge 0.071 0.818 0.889
Ge 0.429 0.318 0.748
Ge 0.571 0.682 0.252
Ge 0.929 0.182 0.111

***

(7)
# Cs2BaAlH6

An optimized crystal structure of Cs2BaAlH6 (PBE, Alexandria).

DFT total energy (eV/atom): -2.923
Theoretical density (g/cm³): 4.054
Volume (Å³ per atom): 17.9
Space-group type: No. 71
Spin magnetization (Bohr magnetons per cell): 0.001

Unit cell a=6.322 b=6.322 c=6.322 alpha=120.14 beta=119.87 gamma=89.99
Fractional coordinates of all 10 atoms:
Cs 0.249 0.249 0.000
Cs 0.751 0.751 0.000
Ba 0.500 0.000 0.500
Al 0.000 0.500 0.500
H 0.201 0.298 0.499
H 0.201 0.701 0.500
H 0.201 0.702 0.902
H 0.799 0.298 0.098
H 0.799 0.299 0.500
H 0.799 0.702 0.501

***

(8)
# CsBaAl2Hg

An optimized crystal structure of CsBaAl2Hg (PBE, Alexandria).

Formation energy from the elements (eV per atom): 0.799
Theoretical density (g/cm³): 3.843
Volume (Å³ per atom): 45.4
Space-group type: No. 123
Spin magnetization (Bohr magnetons per cell): 0.001

Unit cell a=6.014 b=6.014 c=6.270 alpha=90.00 beta=90.00 gamma=90.00
Fractional coordinates of all 5 atoms:
Cs 0.000 0.000 0.000
Ba 0.500 0.500 0.500
Al 0.000 0.500 0.000
Al 0.500 0.000 0.000
Hg 0.000 0.000 0.500